Density functional theory data (GGA-PBE) for a relaxed NbInCuIr crystal.

Lattice parameters (Å, degrees): 6.376 6.376 6.376 90.00 90.00 90.00
Space group F-43m (No. 216)
Asymmetric unit:
Nb 0.000 0.000 0.000 (multiplicity 4)
In 0.250 0.250 0.250 (multiplicity 4)
Cu 0.250 0.250 0.750 (multiplicity 4)
Ir 0.000 0.000 0.500 (multiplicity 4)

Calculated values
- relative energy among the computed polymorphs (eV/atom) = 0.3183